No. 1
# CeHoCuRe

Crystalline CeHoCuRe at its relaxed geometry (PBE, the Alexandria database).

Values from the calculation:
Total energy (eV/cell): -108.1

Cell: 6.913 6.913 6.913 Å, 90.00 90.00 90.00°
Space group F-43m (No. 216)
Inequivalent atoms, fractional coordinates:
Ce 0.000 0.000 0.000 [4 per cell]
Ho 0.000 0.000 0.500 [4 per cell]
Cu 0.250 0.250 0.750 [4 per cell]
Re 0.250 0.250 0.250 [4 per cell]

No. 2
# CeHoCuRu

Crystalline CeHoCuRu at its relaxed geometry (PBE, the Alexandria database).

Values from the calculation:
Total energy (eV/cell): -99.8

Cell: 6.905 6.905 6.905 Å, 90.00 90.00 90.00°
Space group F-43m (No. 216)
Inequivalent atoms, fractional coordinates:
Ce 0.000 0.000 0.000 [4 per cell]
Ho 0.000 0.000 0.500 [4 per cell]
Cu 0.250 0.250 0.750 [4 per cell]
Ru 0.250 0.250 0.250 [4 per cell]

No. 3
# Ce3Ho3CuS8

Crystalline Ce3Ho3CuS8 at its relaxed geometry (PBE, the Alexandria database).

Values from the calculation:
Total energy (eV/cell): -286.5
E_form (uncorrected) (kJ per mole of atoms): -173

Cell: 7.8209 7.8209 19.3352 Å, 90.00 90.00 120.00°
Space group R-3m (No. 166, hexagonal axes)
Inequivalent atoms, fractional coordinates:
Ce 0.0000 0.5000 0.0000 [9 per cell]
Ho 0.0000 0.5000 0.5000 [9 per cell]
Cu 0.0000 0.0000 0.5000 [3 per cell]
S 0.0000 0.0000 0.2456 [6 per cell]
S 0.0055 0.5027 0.2450 [18 per cell]

No. 4
# CeHoCuSi

Crystalline CeHoCuSi at its relaxed geometry (PBE, the Alexandria database).

Values from the calculation:
Total energy (eV/cell): -85.7
E_form (uncorrected) (kJ per mole of atoms): -34

Cell: 7.029 7.029 7.029 Å, 90.00 90.00 90.00°
Space group F-43m (No. 216)
Inequivalent atoms, fractional coordinates:
Ce 0.000 0.000 0.000 [4 per cell]
Ho 0.000 0.000 0.500 [4 per cell]
Cu 0.250 0.250 0.750 [4 per cell]
Si 0.250 0.250 0.250 [4 per cell]

No. 5
# Ce2Ho2CuSi4

Crystalline Ce2Ho2CuSi4 at its relaxed geometry (PBE, the Alexandria database).

Values from the calculation:
Total energy (eV/cell): -98.1
E_form (uncorrected) (kJ per mole of atoms): -24

Cell: 6.824 6.824 8.375 Å, 90.00 90.00 90.00°
Space group I4/mmm (No. 139)
Inequivalent atoms, fractional coordinates:
Ce 0.000 0.000 0.182 [4 per cell]
Ho 0.000 0.500 0.250 [4 per cell]
Cu 0.000 0.000 0.500 [2 per cell]
Si 0.236 0.236 0.500 [8 per cell]

No. 6
# CeHoCuSn

Crystalline CeHoCuSn at its relaxed geometry (PBE, the Alexandria database).

Values from the calculation:
Total energy (eV/cell): -79.8

Cell: 7.366 7.366 7.366 Å, 90.00 90.00 90.00°
Space group F-43m (No. 216)
Inequivalent atoms, fractional coordinates:
Ce 0.000 0.000 0.000 [4 per cell]
Ho 0.000 0.000 0.500 [4 per cell]
Cu 0.250 0.250 0.250 [4 per cell]
Sn 0.250 0.250 0.750 [4 per cell]

No. 7
# CeHoZnCu

Crystalline CeHoZnCu at its relaxed geometry (PBE, the Alexandria database).

Values from the calculation:
Total energy (eV/cell): -66.3

Cell: 7.103 7.103 7.103 Å, 90.00 90.00 90.00°
Space group F-43m (No. 216)
Inequivalent atoms, fractional coordinates:
Ce 0.000 0.000 0.000 [4 per cell]
Ho 0.000 0.000 0.500 [4 per cell]
Zn 0.250 0.250 0.750 [4 per cell]
Cu 0.250 0.250 0.250 [4 per cell]

No. 8
# CeCuI6

Crystalline CeCuI6 at its relaxed geometry (PBE, the Alexandria database).

Values from the calculation:
Total energy (eV/cell): -50.0
Distance to the lowest polymorph of the same formula (eV/atom): 0.000
E_form (uncorrected) (kJ per mole of atoms): -69

Cell: 10.126 12.310 7.079 Å, 90.00 116.39 90.00°
Space group C2/m (No. 12)
Inequivalent atoms, fractional coordinates:
Ce 0.000 0.000 0.000 [2 per cell]
Cu 0.000 0.000 0.500 [2 per cell]
I 0.125 0.161 0.790 [8 per cell]
I 0.227 0.500 0.594 [4 per cell]